(1)
Entry from the Alexandria database: a relaxed LiLaCeRe crystal (PBE).

The structure belongs to space group F-43m (No. 216); the cell edges are 7.153, 7.153 and 7.153 Å and the angles 90.00°, 90.00° and 90.00°. The distinct sites, in fractional coordinates, are Li at (0.000, 0.000, 0.000), La at (0.250, 0.250, 0.750), Ce at (0.250, 0.250, 0.250) and Re at (0.000, 0.000, 0.500).

=====

(2)
Entry from the Alexandria database: a relaxed LiLaCeRh crystal (PBE).

The structure belongs to space group F-43m (No. 216); the cell edges are 7.210, 7.210 and 7.210 Å and the angles 90.00°, 90.00° and 90.00°. The distinct sites, in fractional coordinates, are Li at (0.000, 0.000, 0.000), La at (0.250, 0.250, 0.250), Ce at (0.250, 0.250, 0.750) and Rh at (0.000, 0.000, 0.500).

=====

(3)
Entry from the Alexandria database: a relaxed LiLaCeRu crystal (PBE).

The structure belongs to space group F-43m (No. 216); the cell edges are 7.162, 7.162 and 7.162 Å and the angles 90.00°, 90.00° and 90.00°. The distinct sites, in fractional coordinates, are Li at (0.000, 0.000, 0.000), La at (0.250, 0.250, 0.250), Ce at (0.250, 0.250, 0.750) and Ru at (0.000, 0.000, 0.500).

=====

| no. | E (eV per atom) | formation energy (kJ/mol of atoms) | V (Å³ per atom) |
| --- | --- | --- | --- |
| 1 | -6.1244 | 17.5 | 22.9 |
| 2 | -5.2901 | -24.9 | 23.4 |
| 3 | -5.5906 | -7.5 | 23.0 |